[1]
Material: Fe2SiHg
Method: DFT, GGA-PBE
State: relaxed

a = 8.366 Å, b = 8.366 Å, c = 8.366 Å
α = 19.40°, β = 19.40°, γ = 19.40°
Atoms (fractional coordinates):
Fe  0.011  0.011  0.011
Fe  0.489  0.489  0.489
Hg  0.250  0.250  0.250
Si  0.750  0.750  0.750

Computed properties:
The calculation puts the calculated volume at 14.12 Å³ per atom. For the relative energy among the computed polymorphs, the calculation gives 0.172 eV/atom. Its raw formation energy is 0.250 eV/atom. For the raw total energy, the calculation gives -5.413 eV per atom. The calculation puts the density of states at the Fermi level at 3.82 states/eV per cell. Its space-group type is R-3m, No. 166.


[2]
Material: AgHgPO4
Method: DFT, GGA-PBE
State: relaxed

a = 5.654 Å, b = 5.654 Å, c = 5.432 Å
α = 121.36°, β = 121.36°, γ = 90.00°
Atoms (fractional coordinates):
P  0.250  0.750  0.500
O  0.211  0.037  0.735
O  0.302  0.789  0.265
O  0.963  0.476  0.265
O  0.524  0.698  0.735
Hg  0.500  0.500  0.000
Ag  0.000  0.000  0.000

Computed properties:
The calculation puts the calculated volume at 16.80 Å³ per atom. Its raw formation energy is -1.247 eV/atom. For the raw total energy, the calculation gives -5.304 eV per atom. Its space-group type is I-4, No. 82.


[3]
Material: TbCePm4S8
Method: DFT, GGA-PBE
State: relaxed

a = 8.289 Å, b = 8.289 Å, c = 8.256 Å
α = 59.87°, β = 59.87°, γ = 60.00°
Atoms (fractional coordinates):
S  0.762  0.225  0.251
S  0.237  0.237  0.747
S  0.241  0.241  0.276
S  0.757  0.757  0.729
S  0.762  0.762  0.251
S  0.237  0.780  0.747
S  0.780  0.237  0.747
S  0.225  0.762  0.251
Ce  0.376  0.376  0.873
Pm  0.624  0.624  0.128
Pm  0.500  0.000  0.500
Pm  0.000  0.500  0.500
Pm  0.000  0.000  0.500
Tb  0.000  0.000  0.999

Computed properties:
The calculation puts the calculated volume at 28.59 Å³ per atom. Its raw formation energy is -1.908 eV/atom. For the raw total energy, the calculation gives -6.378 eV per atom. The calculation puts the density of states at the Fermi level at 12.58 states/eV per cell. Its space-group type is R3m, No. 160.